Compound: Ba3SmO4
Source: the Alexandria database
Functional: PBE-GGA
Structure: relaxed

Lattice parameters (Å, degrees): 5.635 7.739 8.947 90.00 90.00 90.00
Each line ends with the local moment (μB).
Element x y z (fractional)
O  0.567  0.116  0.500  0.01
Ba  0.054  0.662  0.247  0.07
Sm  0.527  0.825  0.500  0.03
Ba  0.052  0.162  0.500  0.05
O  0.067  0.884  0.000  0.01
O  0.566  0.697  0.727  0.01
O  0.630  0.170  0.000  0.01
Ba  0.554  0.338  0.747  0.07
Sm  0.027  0.175  0.000  0.03
O  0.566  0.697  0.273  0.01
Ba  0.054  0.662  0.753  0.07
Ba  0.552  0.838  0.000  0.05
O  0.130  0.830  0.500  0.01
Ba  0.554  0.338  0.253  0.07
O  0.066  0.303  0.773  0.01
O  0.066  0.303  0.227  0.01

## Properties
**Energy**: -101.4 eV for the cell shown
**Density of states at the Fermi level**: 0.32 states/eV per atom
**Theoretical density**: 5.331 g/cm3
**Total moment**: 0.9 μB per formula unit



Compound: CdReSe2Br
Source: the Alexandria database
Functional: PBE-GGA
Structure: relaxed

Lattice parameters (Å, degrees): 4.834 4.834 5.442 90.00 90.00 90.00
Element x y z (fractional)
Se  0.000  0.500  0.000
Se  0.500  0.000  0.000
Cd  0.500  0.500  0.500
Br  0.000  0.000  0.500
Re  0.000  0.000  0.000

## Properties
**ΔE to the lowest computed polymorph**: 0.000 eV per atom
**Energy**: -20.5 eV for the cell shown
**Density of states at the Fermi level**: 0.97 states/eV per atom
**Theoretical density**: 7.004 g/cm3
**Total moment**: 0.0 μB per formula unit



Compound: TaHg2Pb
Source: the Alexandria database
Functional: PBE-GGA
Structure: relaxed

Lattice parameters (Å, degrees): 3.060 3.060 10.529 90.00 90.00 90.00
Element x y z (fractional)
Hg  0.500  0.500  0.232
Ta  0.500  0.500  0.768
Pb  0.000  0.000  0.538
Hg  0.000  0.000  0.962

## Properties
**Energy**: -14.7 eV for the cell shown
**Density of states at the Fermi level**: 0.56 states/eV per atom
**Theoretical density**: 13.295 g/cm3
**Total moment**: 0.0 μB per formula unit
**Formation enthalpy at 0 K**: 356 meV/atom



Compound: NdDy2Ag
Source: the Alexandria database
Functional: PBE-GGA
Structure: relaxed

Lattice parameters (Å, degrees): 3.646 3.646 8.652 90.00 90.00 90.00
Element x y z (fractional)
Dy  0.000  0.000  0.208
Nd  0.500  0.500  0.500
Ag  0.500  0.500  0.000
Dy  0.000  0.000  0.792

## Properties
**ΔE to the lowest computed polymorph**: 0.000 eV per atom
**Energy**: -17.4 eV for the cell shown
**Density of states at the Fermi level**: 1.43 states/eV per atom
**Theoretical density**: 8.333 g/cm3
**Total moment**: 0.0 μB per formula unit
**Formation enthalpy at 0 K**: -132 meV/atom



Compound: Sm5TmPb4
Source: the Alexandria database
Functional: PBE-GGA
Structure: relaxed

Lattice parameters (Å, degrees): 5.412 7.308 11.335 129.59 103.81 90.00
Element x y z (fractional)
Pb  0.008  0.262  0.017
Sm  0.500  0.500  0.000
Pb  0.992  0.738  0.983
Sm  0.834  0.163  0.668
Tm  0.500  0.000  0.000
Sm  0.834  0.673  0.667
Pb  0.675  0.101  0.349
Sm  0.166  0.837  0.332
Sm  0.166  0.327  0.333
Pb  0.325  0.899  0.651

## Properties
**Energy**: -46.4 eV for the cell shown
**Density of states at the Fermi level**: 0.74 states/eV per atom
**Theoretical density**: 8.844 g/cm3
**Total moment**: 0.0 μB per formula unit
**Formation enthalpy at 0 K**: -349 meV/atom



Compound: VSbH2
Source: the Alexandria database
Functional: PBE-GGA
Structure: relaxed

Lattice parameters (Å, degrees): 4.048 4.048 4.048 60.00 60.00 60.00
Each line ends with the local moment (μB).
Element x y z (fractional)
H  0.750  0.750  0.750  -0.01
H  0.250  0.250  0.250  -0.01
V  0.000  0.000  0.000  2.36
Sb  0.500  0.500  0.500  -0.07

## Properties
**ΔE to the lowest computed polymorph**: 0.474 eV per atom
**Energy**: -16.9 eV for the cell shown
**Density of states at the Fermi level**: 0.62 states/eV per atom
**Theoretical density**: 6.186 g/cm3
**Total moment**: 2.6 μB per formula unit



Compound: La3Tm2In4
Source: the Alexandria database
Functional: PBE-GGA
Structure: relaxed

Lattice parameters (Å, degrees): 5.105 6.557 10.069 116.77 90.00 112.91
Element x y z (fractional)
In  0.064  0.128  0.401
In  0.302  0.604  0.965
In  0.698  0.396  0.035
La  0.647  0.295  0.680
La  0.000  0.000  0.000
Tm  0.639  0.278  0.306
In  0.936  0.872  0.599
Tm  0.361  0.722  0.694
La  0.353  0.705  0.320

## Properties
**Energy**: -38.2 eV for the cell shown
**Density of states at the Fermi level**: 0.78 states/eV per atom
**Theoretical density**: 7.443 g/cm3
**Total moment**: 0.0 μB per formula unit
**Formation enthalpy at 0 K**: -396 meV/atom



Compound: Ac5LaSm4
Source: the Alexandria database
Functional: PBE-GGA
Structure: relaxed

Lattice parameters (Å, degrees): 5.483 11.220 10.110 41.23 74.27 75.86
Element x y z (fractional)
Sm  0.199  0.400  0.202
Sm  0.601  0.199  0.600
Sm  0.399  0.801  0.400
Ac  0.799  0.102  0.300
Ac  0.000  0.500  0.500
Ac  0.201  0.898  0.700
La  0.000  0.000  0.000
Ac  0.399  0.303  0.899
Sm  0.801  0.600  0.798
Ac  0.601  0.697  0.101

## Properties
**Energy**: -44.0 eV for the cell shown
**Density of states at the Fermi level**: 1.57 states/eV per atom
**Theoretical density**: 7.910 g/cm3
**Total moment**: 0.0 μB per formula unit
**Formation enthalpy at 0 K**: 32 meV/atom